1.
A crystal of POsSe2S relaxed with PBEsol. Source: Alexandria via LeMat-Bulk, functional meta-GGA SCAN.

Unit cell a=4.2924 b=4.8018 c=4.8018 alpha=90.00 beta=90.00 gamma=90.00
Fractional positions:
P 0.5000 0.5000 0.5000
S 0.0000 0.0000 0.0000
Os 0.5000 0.0000 0.0000
Se 0.0000 0.0000 0.5000
Se 0.0000 0.5000 0.0000

Results
- Total magnetic moment: 0.003 μB/f.u.
- Space-group type: P4/mmm
- VASP energy: -1.8272 Ry/atom
- Uncorrected formation energy: 1.5530 eV per atom
- ρ: 6899 kg/m3

***

2.
A crystal of SiP2OsS relaxed with PBEsol. Source: Alexandria via LeMat-Bulk, functional meta-GGA SCAN.

Unit cell a=4.4017 b=4.4017 c=5.1009 alpha=90.00 beta=90.00 gamma=90.00
Fractional positions:
P 0.0000 0.5000 0.0000
P 0.5000 0.0000 0.0000
S 0.0000 0.0000 0.5000
Os 0.0000 0.0000 0.0000
Si 0.5000 0.5000 0.5000

Results
- Total magnetic moment: 0.000 μB/f.u.
- Energy above the most stable polymorph in this dataset: 0 meV per atom
- Space-group type: P4/mmm
- VASP energy: -1.5827 Ry/atom
- Uncorrected formation energy: 0.9299 eV per atom
- ρ: 5248 kg/m3

***

3.
A crystal of TePOsS2 relaxed with PBEsol. Source: Alexandria via LeMat-Bulk, functional meta-GGA SCAN.

Unit cell a=4.8067 b=4.8067 c=5.0730 alpha=90.00 beta=90.00 gamma=90.00
Fractional positions:
P 0.0000 0.0000 0.5000
S 0.0000 0.5000 0.0000
S 0.5000 0.0000 0.0000
Te 0.0000 0.0000 0.0000
Os 0.5000 0.5000 0.5000

Results
- Total magnetic moment: 3.790 μB/f.u.
- Space-group type: P4/mmm
- VASP energy: -1.8974 Ry/atom
- Uncorrected formation energy: 1.9420 eV per atom
- ρ: 5850 kg/m3